Record 1
Computed, not measured: an optimized crystal structure of NbSnGe2Au at the PBE level of DFT.

Results
size of the total moment: 0.000 μB/atom
formation energy from the elements: 0.487 eV per atom
DOS(E_F): 0.501 states/eV per atom
volume: 130.42 Å³/f.u.

a = 4.988 Å, b = 5.242 Å, c = 4.988 Å
α = 90.00°, β = 90.00°, γ = 90.00°
Fractional positions:
Au  0.000  0.500  0.000
Nb  0.000  0.000  0.000
Sn  0.500  0.500  0.500
Ge  0.000  0.000  0.500
Ge  0.500  0.000  0.000



Record 2
Computed, not measured: an optimized crystal structure of TbTmMgHg at the PBE level of DFT.

Results
size of the total moment: 0.000 μB/atom
formation energy from the elements: -0.258 eV per atom
DOS(E_F): 1.043 states/eV per atom
volume: 103.69 Å³/f.u.
distance to the lowest polymorph of the same formula: 17 meV/atom

a = 5.273 Å, b = 5.273 Å, c = 5.273 Å
α = 60.00°, β = 60.00°, γ = 60.00°
Fractional positions:
Hg  0.500  0.500  0.500
Tb  0.250  0.250  0.250
Tm  0.750  0.750  0.750
Mg  0.000  0.000  0.000



Record 3
Computed, not measured: an optimized crystal structure of Pr4Tl3Pd at the PBE level of DFT.

Results
size of the total moment: 0.000 μB/atom
formation energy from the elements: -0.468 eV per atom
DOS(E_F): 0.892 states/eV per atom
volume: 230.57 Å³/f.u.

a = 3.723 Å, b = 3.723 Å, c = 16.634 Å
α = 90.00°, β = 90.00°, γ = 90.00°
Fractional positions:
Pr  0.000  0.000  0.632
Pd  0.500  0.500  0.000
Tl  0.500  0.500  0.761
Tl  0.500  0.500  0.500
Pr  0.000  0.000  0.368
Pr  0.000  0.000  0.106
Tl  0.500  0.500  0.239
Pr  0.000  0.000  0.894



Record 4
Computed, not measured: an optimized crystal structure of Mn2AlBr8 at the PBE level of DFT.

Results
size of the total moment: 0.818 μB/atom
ΔE_f (raw): -658 meV/atom
DOS(E_F): 0.589 states/eV per atom
volume: 453.82 Å³/f.u.

a = 7.514 Å, b = 7.952 Å, c = 9.116 Å
α = 106.70°, β = 90.00°, γ = 118.19°
Fractional positions:
Br  0.385  0.770  0.271
Br  0.814  0.628  0.448
Br  0.615  0.230  0.729
Al  0.000  0.000  0.000
Mn  0.234  0.468  0.328
Br  0.340  0.224  0.142
Br  0.186  0.372  0.552
Mn  0.766  0.532  0.672
Br  0.884  0.224  0.142
Br  0.660  0.776  0.858
Br  0.116  0.776  0.858